## AcTb6Nd (PBE-GGA)

Data for a relaxed structure of AcTb6Nd.

* energy of formation: 392 meV/atom
* space group: C2/m, No. 12
* magnetization: 0.00 μB per formula unit

Cell: 6.009 6.009 8.955 Å, 79.56 79.56 71.56°
Fractional coordinates of all 8 atoms:
Tb: 0.520 0.044 0.299
Tb: 0.377 0.377 0.920
Tb: 0.044 0.520 0.299
Tb: 0.623 0.623 0.080
Nd: 0.500 0.500 0.500
Tb: 0.956 0.480 0.701
Ac: 0.000 0.000 0.000
Tb: 0.480 0.956 0.701